# CdCuRh3 | Alexandria | PBE | optimized geometry
data_CdCuRh3
_chemical_formula_sum 'Cd1 Cu1 Rh3'
_cell_length_a 4.5272
_cell_length_b 4.5272
_cell_length_c 4.5272
_cell_angle_alpha 90.00
_cell_angle_beta 90.00
_cell_angle_gamma 90.00
_space_group_name_H-M_alt 'P m -3 m'
_space_group_IT_number 221
_space_group_name_Hall '-P 4 2 3'
loop_
_atom_site_label
_atom_site_type_symbol
_atom_site_fract_x
_atom_site_fract_y
_atom_site_fract_z
Cd1 Cd 0.0000 0.0000 0.0000
Cu1 Cu 0.5000 0.5000 0.5000
Rh1 Rh 0.0000 0.5000 0.5000
# - V (Å³/atom) = 18.558
# - excess energy over the best structure of this formula in the dataset (meV per atom) = 0
# - size of the total moment (μB per formula unit) = 1.34
# - energy relative to the elements (eV/atom) = 0.952